Entry 1:
Compound: BaSrZn5
Source: Alexandria
Functional: GGA-PBE
Structure: relaxed

Structure (POSCAR):
```
BaSrZn5
1.0
-1.585 5.489 2.312
-9.346 -3.618 2.182
3.428 -3.058 9.613
Zn Sr Ba
20 4 4
direct
0.544 0.922 0.335 Zn
0.544 0.422 0.165 Zn
0.250 0.023 0.183 Zn
0.750 0.236 0.760 Zn
0.250 0.081 0.440 Zn
0.250 0.264 0.260 Zn
0.750 0.977 0.817 Zn
0.456 0.578 0.835 Zn
0.044 0.578 0.835 Zn
0.956 0.922 0.335 Zn
0.250 0.523 0.317 Zn
0.750 0.736 0.740 Zn
0.250 0.764 0.240 Zn
0.456 0.078 0.665 Zn
0.956 0.422 0.165 Zn
0.750 0.419 0.940 Zn
0.750 0.919 0.560 Zn
0.044 0.078 0.665 Zn
0.250 0.581 0.060 Zn
0.750 0.477 0.683 Zn
0.250 0.381 0.595 Sr
0.750 0.119 0.095 Sr
0.750 0.619 0.405 Sr
0.250 0.881 0.905 Sr
0.250 0.267 0.927 Ba
0.750 0.233 0.427 Ba
0.250 0.767 0.573 Ba
0.750 0.733 0.073 Ba
```

## Properties
Energy of formation from the pure elements (kJ/mol of atoms): -19.5
SG: No. 62

Entry 2:
Compound: TaGeP2Os
Source: Alexandria
Functional: GGA-PBE
Structure: relaxed

Structure (POSCAR):
```
TaGeP2Os
1.0
-3.120 -3.169 0.057
1.663 -1.718 -4.488
2.816 -2.735 2.090
Ge P Os Ta
1 2 1 1
direct
0.000 0.500 0.000 Ge
0.500 0.000 0.000 P
0.000 0.000 0.500 P
0.000 0.000 0.000 Os
0.500 0.500 0.500 Ta
```

## Properties
Energy of formation from the pure elements (kJ/mol of atoms): 110.7
SG: No. 123

Entry 3:
Compound: BaMg2Pb6
Source: Alexandria
Functional: GGA-PBE
Structure: relaxed

Structure (POSCAR):
```
BaMg2Pb6
1.0
9.800 0.000 0.000
4.900 8.487 0.000
4.900 2.829 8.002
Pb Mg Ba
12 4 2
direct
0.752 0.248 0.248 Pb
0.498 0.498 0.002 Pb
0.002 0.498 0.002 Pb
0.002 0.002 0.498 Pb
0.752 0.752 0.248 Pb
0.248 0.752 0.752 Pb
0.498 0.002 0.002 Pb
0.248 0.752 0.248 Pb
0.002 0.498 0.498 Pb
0.498 0.002 0.498 Pb
0.248 0.248 0.752 Pb
0.752 0.248 0.752 Pb
0.125 0.625 0.125 Mg
0.125 0.125 0.125 Mg
0.625 0.125 0.125 Mg
0.125 0.125 0.625 Mg
0.750 0.750 0.750 Ba
0.500 0.500 0.500 Ba
```

## Properties
Energy of formation from the pure elements (kJ/mol of atoms): 15.2
SG: No. 227

Entry 4:
Compound: ScTl2Cd2
Source: Alexandria
Functional: GGA-PBE
Structure: relaxed

Structure (POSCAR):
```
ScTl2Cd2
1.0
-1.452 1.342 3.442
-3.662 -1.006 -1.153
-1.543 -7.396 4.521
Cd Tl Sc
2 2 1
direct
0.250 0.750 0.500 Cd
0.750 0.250 0.500 Cd
0.403 0.403 0.194 Tl
0.597 0.597 0.806 Tl
0.000 0.000 0.000 Sc
```

## Properties
Energy of formation from the pure elements (kJ/mol of atoms): 9.7
SG: No. 139

Entry 5:
Compound: BaPW3
Source: Alexandria
Functional: GGA-PBE
Structure: relaxed

Structure (POSCAR):
```
BaPW3
1.0
-1.928 4.417 -1.345
-2.266 -2.175 -3.895
-4.023 -0.892 2.838
W Ba P
3 1 1
direct
0.000 0.500 0.000 W
0.500 0.000 0.000 W
0.000 0.000 0.500 W
0.000 0.000 0.000 Ba
0.500 0.500 0.500 P
```

## Properties
Energy of formation from the pure elements (kJ/mol of atoms): 395.5
SG: No. 221

Entry 6:
Compound: SrTaRu2
Source: Alexandria
Functional: GGA-PBE
Structure: relaxed

Structure (POSCAR):
```
SrTaRu2
1.0
3.230 0.000 0.000
0.000 3.223 0.014
0.000 3.186 7.389
Sr Ru Ta
1 2 1
direct
0.500 0.250 0.250 Sr
0.000 0.054 0.947 Ru
0.000 0.446 0.553 Ru
0.500 0.750 0.750 Ta
```

## Properties
Energy of formation from the pure elements (kJ/mol of atoms): -0.3
SG: No. 123

Entry 7:
Compound: CuReNi
Source: Alexandria
Functional: GGA-PBE
Structure: relaxed

Structure (POSCAR):
```
CuReNi
1.0
-3.590 -0.287 -2.723
-3.040 -3.262 0.711
2.129 3.615 1.669
Cu Ni Re
1 1 1
direct
0.999 0.999 0.000 Cu
0.332 0.332 0.000 Ni
0.668 0.668 0.000 Re
```

## Properties
Energy of formation from the pure elements (kJ/mol of atoms): 24.2
SG: No. 44

Entry 8:
Compound: CdFe2W
Source: Alexandria
Functional: GGA-PBE
Structure: relaxed

Structure (POSCAR):
```
CdFe2W
1.0
2.693 0.010 0.000
-0.811 2.568 0.000
0.000 0.000 8.648
Cd Fe W
1 2 1
direct
0.500 0.500 0.764 Cd
0.000 0.000 0.028 Fe
0.500 0.500 0.238 Fe
0.000 0.000 0.471 W
```

## Properties
Energy of formation from the pure elements (kJ/mol of atoms): 33.0
SG: No. 35